(1)
VASP calculation (GGA-PBE) on a relaxed structure of KCdMo2.

Results
As for the formation energy from the elements: 1.063 eV per atom. Its size of the total moment is 0.25 μB per formula unit. As for the space group: No. 166. The total energy is -19.4 eV/cell. The value obtained for the mass density is 7.06 g/cm3.

abc: 11.4022 11.4022 11.4022
angles: 14.49 14.49 14.49
With the nearest neighbours (Å) after each atom.
Fractional coordinates of all 4 atoms:
K: 0.0000 0.0000 0.0000  6 K 2.88
Cd: 0.5000 0.5000 0.5000  6 Cd 2.88, 6 Mo 3.00
Mo: 0.2406 0.2406 0.2406  6 Mo 2.88, 3 Cd 3.00
Mo: 0.7594 0.7594 0.7594  6 Mo 2.88, 3 Cd 3.00

***

(2)
VASP calculation (GGA-PBE) on a relaxed structure of ScAl2Bi2.

Results
As for the formation energy from the elements: 0.020 eV per atom. Its size of the total moment is 0.00 μB per formula unit. As for the space group: No. 127. The total energy is -43.0 eV/cell. The value obtained for the mass density is 7.00 g/cm3.

abc: 7.6756 7.6756 4.1626
angles: 90.00 90.00 90.00
With the nearest neighbours (Å) after each atom.
Fractional coordinates of all 10 atoms:
Sc: 0.0000 0.0000 0.0000  4 Al 3.04
Sc: 0.5000 0.5000 0.0000  4 Al 3.04
Al: 0.1236 0.3764 0.0000  1 Al 2.68, 2 Bi 2.99
Al: 0.3764 0.8764 0.0000  1 Al 2.68, 2 Bi 2.99
Al: 0.6236 0.1236 0.0000  1 Al 2.68, 2 Bi 2.99
Al: 0.8764 0.6236 0.0000  1 Al 2.68, 2 Bi 2.99
Bi: 0.1788 0.6788 0.5000  6 Al 2.99-3.15
Bi: 0.3212 0.1788 0.5000  6 Al 2.99-3.15
Bi: 0.6788 0.8212 0.5000  6 Al 2.99-3.15
Bi: 0.8212 0.3212 0.5000  6 Al 2.99-3.15

***

(3)
VASP calculation (GGA-PBE) on a relaxed structure of Tm3H2Pb2.

Results
Its size of the total moment is 0.00 μB per formula unit. As for the space group: No. 14. The total energy is -60.8 eV/cell. The value obtained for the mass density is 10.07 g/cm3.

abc: 6.0084 9.1802 6.5129
angles: 90.00 122.03 90.00
With the nearest neighbours (Å) after each atom.
Fractional coordinates of all 14 atoms:
Tm: 0.0000 0.0000 0.0000  2 H 2.13
Tm: 0.0000 0.5000 0.5000  2 H 2.13
Tm: 0.3262 0.0789 0.6261  2 H 2.14-2.15
Tm: 0.3262 0.4211 0.1261  2 H 2.14-2.15
Tm: 0.6738 0.5789 0.8739  2 H 2.14-2.15
Tm: 0.6738 0.9211 0.3739  2 H 2.14-2.15
H: 0.3629 0.0623 0.3161  3 Tm 2.13-2.15, 1 H 2.36
H: 0.3629 0.4377 0.8161  3 Tm 2.13-2.15, 1 H 2.36
H: 0.6371 0.5623 0.1839  3 Tm 2.13-2.15, 1 H 2.36
H: 0.6371 0.9377 0.6839  3 Tm 2.13-2.15, 1 H 2.36
Pb: 0.2124 0.7288 0.3264  5 Tm 2.98-3.33, 2 H 3.05-3.20, 2 Pb 3.28
Pb: 0.2124 0.7712 0.8264  5 Tm 2.98-3.33, 2 H 3.05-3.20, 2 Pb 3.28
Pb: 0.7876 0.2288 0.1736  5 Tm 2.98-3.33, 2 H 3.05-3.20, 2 Pb 3.28
Pb: 0.7876 0.2712 0.6736  5 Tm 2.98-3.33, 2 H 3.05-3.20, 2 Pb 3.28

***

(4)
VASP calculation (GGA-PBE) on a relaxed structure of Rb2CeNdO4.

Results
Its size of the total moment is 0.97 μB per formula unit. As for the space group: No. 10. For the raw formation energy, the calculation gives -2.547 eV/atom. The total energy is -52.8 eV/cell. The value obtained for the mass density is 5.60 g/cm3.

abc: 6.3584 3.6730 6.9327
angles: 90.00 107.84 90.00
With the nearest neighbours (Å) after each atom.
Fractional coordinates of all 8 atoms:
Rb: 0.0000 0.0000 0.0000  6 O 2.99
Rb: 0.5000 0.5000 0.0000  6 O 3.00-3.01
Ce: 0.0000 0.5000 0.5000  6 O 2.41-2.42
Nd: 0.5000 0.0000 0.5000  6 O 2.43-2.44
O: 0.2240 0.0000 0.6788  2 Ce 2.42, 1 Nd 2.44
O: 0.2709 0.5000 0.3209  1 Ce 2.41, 2 Nd 2.43
O: 0.7291 0.5000 0.6791  1 Ce 2.41, 2 Nd 2.43
O: 0.7760 0.0000 0.3212  2 Ce 2.42, 1 Nd 2.44

***

(5)
VASP calculation (GGA-PBE) on a relaxed structure of AcNb4O12.

Results
Its size of the total moment is 0.02 μB per formula unit. As for the space group: No. 204. For the raw formation energy, the calculation gives -2.568 eV/atom. The total energy is -147.5 eV/cell. The value obtained for the mass density is 5.08 g/cm3.

abc: 6.9488 6.9488 6.9488
angles: 109.47 109.47 109.47
With the nearest neighbours (Å) after each atom.
Fractional coordinates of all 17 atoms:
Ac: 0.0000 0.0000 0.0000  12 O 2.74
Nb: 0.0000 0.0000 0.5000  6 O 2.01
Nb: 0.0000 0.5000 0.0000  6 O 2.01
Nb: 0.5000 0.0000 0.0000  6 O 2.01
Nb: 0.5000 0.5000 0.5000  6 O 2.01
O: 0.0012 0.7593 0.2419  2 Nb 2.01
O: 0.2407 0.2419 0.4825  2 Nb 2.01
O: 0.2407 0.7581 0.9988  2 Nb 2.01
O: 0.2419 0.0012 0.7593  2 Nb 2.01
O: 0.2419 0.4825 0.2407  2 Nb 2.01
O: 0.4825 0.2407 0.2419  2 Nb 2.01
O: 0.5175 0.7593 0.7581  2 Nb 2.01
O: 0.7581 0.5175 0.7593  2 Nb 2.01
O: 0.7581 0.9988 0.2407  2 Nb 2.01
O: 0.7593 0.2419 0.0012  2 Nb 2.01
O: 0.7593 0.7581 0.5175  2 Nb 2.01
O: 0.9988 0.2407 0.7581  2 Nb 2.01

***

(6)
VASP calculation (GGA-PBE) on a relaxed structure of DyHo3Ni3.

Results
As for the formation energy from the elements: -0.308 eV per atom. Its size of the total moment is 0.00 μB per formula unit. As for the space group: No. 12. The total energy is -75.7 eV/cell. The value obtained for the mass density is 9.13 g/cm3.

abc: 6.7052 6.7052 6.7854
angles: 90.96 90.96 96.35
With the nearest neighbours (Å) after each atom.
Fractional coordinates of all 14 atoms:
Dy: 0.2431 0.2431 0.3784  4 Ni 2.70-2.87
Dy: 0.7569 0.7569 0.6216  4 Ni 2.70-2.87
Ho: 0.1645 0.1645 0.8741  3 Ni 2.75-2.81
Ho: 0.2513 0.7487 0.5000  6 Ni 2.84-3.00
Ho: 0.3233 0.6767 0.0000  6 Ni 2.67-2.84
Ho: 0.6767 0.3233 0.0000  6 Ni 2.67-2.84
Ho: 0.7487 0.2513 0.5000  6 Ni 2.84-3.00
Ho: 0.8355 0.8355 0.1259  3 Ni 2.75-2.81
Ni: 0.0039 0.5148 0.7895  4 Ho 2.67-2.95, 1 Dy 2.70, 1 Ni 2.87
Ni: 0.4415 0.4415 0.6869  2 Dy 2.71-2.87, 1 Ni 2.77, 5 Ho 2.80-2.84
Ni: 0.4852 0.9961 0.2105  4 Ho 2.67-2.95, 1 Dy 2.70, 1 Ni 2.87
Ni: 0.5148 0.0039 0.7895  4 Ho 2.67-2.95, 1 Dy 2.70, 1 Ni 2.87
Ni: 0.5585 0.5585 0.3131  2 Dy 2.71-2.87, 1 Ni 2.77, 5 Ho 2.80-2.84
Ni: 0.9961 0.4852 0.2105  4 Ho 2.67-2.95, 1 Dy 2.70, 1 Ni 2.87

***

(7)
VASP calculation (GGA-PBE) on a relaxed structure of KV2Br2.

Results
Its size of the total moment is 0.82 μB per formula unit. As for the space group: No. 139. For the raw formation energy, the calculation gives -0.040 eV/atom. The total energy is -22.9 eV/cell. The value obtained for the mass density is 4.27 g/cm3.

abc: 5.7503 5.7503 5.7503
angles: 127.15 127.15 78.01
With the nearest neighbours (Å) after each atom.
Fractional coordinates of all 5 atoms:
K: 0.0000 0.0000 0.0000  8 Br 3.40, 10 V 3.58-3.73
V: 0.4005 0.4005 0.0000  1 V 1.78
V: 0.5995 0.5995 0.0000  1 V 1.78
Br: 0.2500 0.7500 0.5000  4 V 2.89
Br: 0.7500 0.2500 0.5000  4 V 2.89

***

(8)
VASP calculation (GGA-PBE) on a relaxed structure of CeHF4.

Results
Its size of the total moment is 1.00 μB per formula unit. As for the space group: No. 109. The total energy is -70.8 eV/cell. The value obtained for the mass density is 3.84 g/cm3.

abc: 6.2511 6.2511 6.2511
angles: 108.79 108.79 110.84
With the nearest neighbours (Å) after each atom.
Fractional coordinates of all 12 atoms:
Ce: 0.0000 0.0000 0.0000  4 F 2.26-2.31
Ce: 0.7500 0.2500 0.5000  4 F 2.26-2.31
H: 0.3788 0.8788 0.5000  2 F 1.16
H: 0.6288 0.6288 0.0000  2 F 1.16
F: 0.0106 0.3211 0.3105  2 Ce 2.26-2.31
F: 0.0106 0.7001 0.6895  2 Ce 2.26-2.31
F: 0.0711 0.2606 0.8105  2 Ce 2.26-2.31
F: 0.2566 0.9128 0.3438  1 H 1.16
F: 0.4501 0.2606 0.1895  2 Ce 2.26-2.31
F: 0.5690 0.9128 0.6562  1 H 1.16
F: 0.6628 0.5066 0.8438  1 H 1.16
F: 0.6628 0.8190 0.1562  1 H 1.16

***

(9)
VASP calculation (GGA-PBE) on a relaxed structure of CuSiHg2.

Results
Its size of the total moment is 0.00 μB per formula unit. As for the space group: No. 65. For the raw formation energy, the calculation gives 0.456 eV/atom. The total energy is -8.3 eV/cell. The value obtained for the mass density is 10.25 g/cm3.

abc: 3.1957 3.1957 9.6429
angles: 90.00 90.00 125.86
With the nearest neighbours (Å) after each atom.
Fractional coordinates of all 4 atoms:
Cu: 0.0000 0.0000 0.0000  4 Hg 2.69, 2 Cu 2.91
Si: 0.0000 0.0000 0.5000  6 Si 2.91-3.20, 4 Hg 2.94
Hg: 0.5000 0.5000 0.2351  2 Cu 2.69, 2 Hg 2.91, 2 Si 2.94
Hg: 0.5000 0.5000 0.7649  2 Cu 2.69, 2 Hg 2.91, 2 Si 2.94

***

(10)
VASP calculation (GGA-PBE) on a relaxed structure of Mg17Ga2.

Results
As for the formation energy from the elements: 0.121 eV per atom. Its size of the total moment is 0.00 μB per formula unit. As for the space group: No. 166. The total energy is -30.9 eV/cell. The value obtained for the mass density is 1.96 g/cm3.

abc: 7.8888 7.8888 7.8888
angles: 79.47 79.47 79.47
With the nearest neighbours (Å) after each atom.
Fractional coordinates of all 19 atoms:
Mg: 0.0000 0.0000 0.5000  10 Mg 2.91-3.15
Mg: 0.0000 0.3273 0.6727  9 Mg 3.12-3.48
Mg: 0.0000 0.5000 0.0000  10 Mg 2.91-3.15
Mg: 0.0000 0.6727 0.3273  9 Mg 3.12-3.48
Mg: 0.0914 0.0914 0.0914  7 Mg 2.92-3.18, 1 Ga 2.97
Mg: 0.1622 0.6620 0.6620  9 Mg 2.91-3.19
Mg: 0.3273 0.0000 0.6727  9 Mg 3.12-3.48
Mg: 0.3273 0.6727 0.0000  9 Mg 3.12-3.48
Mg: 0.3380 0.3380 0.8378  9 Mg 2.91-3.19
Mg: 0.3380 0.8378 0.3380  9 Mg 2.91-3.19
Mg: 0.5000 0.0000 0.0000  10 Mg 2.91-3.15
Mg: 0.6620 0.1622 0.6620  9 Mg 2.91-3.19
Mg: 0.6620 0.6620 0.1622  9 Mg 2.91-3.19
Mg: 0.6727 0.0000 0.3273  9 Mg 3.12-3.48
Mg: 0.6727 0.3273 0.0000  9 Mg 3.12-3.48
Mg: 0.8378 0.3380 0.3380  9 Mg 2.91-3.19
Mg: 0.9086 0.9086 0.9086  7 Mg 2.92-3.18, 1 Ga 2.97
Ga: 0.2777 0.2777 0.2777  1 Mg 2.97
Ga: 0.7223 0.7223 0.7223  1 Mg 2.97